Entry 1:
Compound: Ge2Ir
Source: the Open Quantum Materials Database
Functional: PBE
Structure: optimized geometry

Results
- symmetry = Fd-3m (227)
- calculated total energy (eV per atom) = -5.216
- M_tot (μB per formula unit) = 0.00

a = 5.2094 Å, b = 5.2094 Å, c = 5.2094 Å
α = 60.00°, β = 60.00°, γ = 60.00°
Atoms (fractional coordinates):
Ge 0.0000 0.0000 0.0000
Ge 0.0000 0.0000 0.5000
Ge 0.0000 0.5000 0.0000
Ge 0.5000 0.0000 0.0000
Ir 0.3750 0.3750 0.3750
Ir 0.6250 0.6250 0.6250


Entry 2:
Compound: GeIr15
Source: the Open Quantum Materials Database
Functional: PBE
Structure: optimized geometry

Results
- symmetry = P2_1/m (11)
- distance to the lowest polymorph of the same formula (meV/atom) = 4.3
- calculated total energy (eV per atom) = -8.502
- M_tot (μB per formula unit) = 0.01

a = 5.4509 Å, b = 2.7441 Å, c = 44.1879 Å
α = 90.00°, β = 90.00°, γ = 90.00°
Atoms (fractional coordinates):
Ge 0.1250 0.2500 0.1707
Ge 0.8750 0.7500 0.8293
Ir 0.1250 0.2500 0.2579
Ir 0.1250 0.2500 0.3464
Ir 0.1250 0.2500 0.4342
Ir 0.1250 0.2500 0.5219
Ir 0.1254 0.2500 0.6096
Ir 0.1254 0.2500 0.6974
Ir 0.1251 0.2500 0.7853
Ir 0.3750 0.7500 0.2147
Ir 0.3755 0.7500 0.3026
Ir 0.3754 0.7500 0.3905
Ir 0.3750 0.7500 0.4781
Ir 0.3750 0.7500 0.5657
Ir 0.3750 0.7500 0.6533
Ir 0.3750 0.7500 0.7406
Ir 0.3750 0.7500 0.8276
Ir 0.6250 0.2500 0.1724
Ir 0.6250 0.2500 0.2594
Ir 0.6250 0.2500 0.3467
Ir 0.6250 0.2500 0.4343
Ir 0.6250 0.2500 0.5219
Ir 0.6246 0.2500 0.6095
Ir 0.6245 0.2500 0.6974
Ir 0.6250 0.2500 0.7853
Ir 0.8749 0.7500 0.2147
Ir 0.8746 0.7500 0.3026
Ir 0.8746 0.7500 0.3904
Ir 0.8750 0.7500 0.4781
Ir 0.8750 0.7500 0.5658
Ir 0.8750 0.7500 0.6536
Ir 0.8750 0.7500 0.7421


Entry 3:
Compound: Ge5Ir4
Source: the Open Quantum Materials Database
Functional: PBE
Structure: optimized geometry

Results
- symmetry = P-4c2 (116)
- calculated total energy (eV per atom) = -6.846
- M_tot (μB per formula unit) = 0.00

a = 5.6787 Å, b = 5.6787 Å, c = 18.5505 Å
α = 90.00°, β = 90.00°, γ = 90.00°
Atoms (fractional coordinates):
Ge 0.1445 0.2264 0.1453
Ge 0.1445 0.7736 0.6453
Ge 0.1962 0.3423 0.9445
Ge 0.1962 0.6577 0.4445
Ge 0.2264 0.1445 0.3547
Ge 0.2264 0.8555 0.8547
Ge 0.3227 0.3227 0.7500
Ge 0.3227 0.6773 0.2500
Ge 0.3423 0.1962 0.5555
Ge 0.3423 0.8038 0.0555
Ge 0.6577 0.1962 0.0555
Ge 0.6577 0.8038 0.5555
Ge 0.6773 0.3227 0.2500
Ge 0.6773 0.6773 0.7500
Ge 0.7736 0.1445 0.8547
Ge 0.7736 0.8555 0.3547
Ge 0.8038 0.3423 0.4445
Ge 0.8038 0.6577 0.9445
Ge 0.8555 0.2264 0.6453
Ge 0.8555 0.7736 0.1453
Ir 0.0000 0.0000 0.0000
Ir 0.0000 0.0000 0.2500
Ir 0.0000 0.0000 0.5000
Ir 0.0000 0.0000 0.7500
Ir 0.0000 0.5000 0.0555
Ir 0.0000 0.5000 0.3231
Ir 0.0000 0.5000 0.5555
Ir 0.0000 0.5000 0.8231
Ir 0.5000 0.0000 0.1769
Ir 0.5000 0.0000 0.4445
Ir 0.5000 0.0000 0.6769
Ir 0.5000 0.0000 0.9445
Ir 0.5000 0.5000 0.1359
Ir 0.5000 0.5000 0.3641
Ir 0.5000 0.5000 0.6359
Ir 0.5000 0.5000 0.8641


Entry 4:
Compound: GeIr2
Source: the Open Quantum Materials Database
Functional: PBE
Structure: optimized geometry

Results
- symmetry = Fd-3m (227)
- calculated total energy (eV per atom) = -6.957
- M_tot (μB per formula unit) = 0.26

a = 5.2384 Å, b = 5.2384 Å, c = 5.2384 Å
α = 60.00°, β = 60.00°, γ = 60.00°
Atoms (fractional coordinates):
Ge 0.1250 0.1250 0.1250
Ge 0.8750 0.8750 0.8750
Ir 0.0000 0.5000 0.5000
Ir 0.5000 0.0000 0.5000
Ir 0.5000 0.5000 0.0000
Ir 0.5000 0.5000 0.5000


Entry 5:
Compound: GeIr7
Source: the Open Quantum Materials Database
Functional: PBE
Structure: optimized geometry

Results
- symmetry = P4/nmm (129)
- distance to the lowest polymorph of the same formula (meV/atom) = 0.0
- calculated total energy (eV per atom) = -8.293
- M_tot (μB per formula unit) = 0.01

a = 2.7534 Å, b = 2.7534 Å, c = 43.5516 Å
α = 90.00°, β = 90.00°, γ = 90.00°
Atoms (fractional coordinates):
Ge 0.2500 0.2500 0.1692
Ge 0.7500 0.7500 0.8308
Ir 0.2500 0.2500 0.2571
Ir 0.2500 0.2500 0.3453
Ir 0.2500 0.2500 0.4338
Ir 0.2500 0.2500 0.5221
Ir 0.2500 0.2500 0.6103
Ir 0.2500 0.2500 0.6991
Ir 0.2500 0.2500 0.7877
Ir 0.7500 0.7500 0.2123
Ir 0.7500 0.7500 0.3009
Ir 0.7500 0.7500 0.3897
Ir 0.7500 0.7500 0.4779
Ir 0.7500 0.7500 0.5662
Ir 0.7500 0.7500 0.6547
Ir 0.7500 0.7500 0.7429


Entry 6:
Compound: GeIr2
Source: the Open Quantum Materials Database
Functional: PBE
Structure: optimized geometry

Results
- symmetry = Fd-3m (227)
- calculated total energy (eV per atom) = -4.735
- M_tot (μB per formula unit) = 2.86

a = 7.6133 Å, b = 7.6133 Å, c = 7.6133 Å
α = 60.00°, β = 60.00°, γ = 60.00°
Atoms (fractional coordinates):
Ge 0.1250 0.1250 0.1250
Ge 0.8750 0.8750 0.8750
Ir 0.0000 0.0000 0.0000
Ir 0.0000 0.0000 0.5000
Ir 0.0000 0.5000 0.0000
Ir 0.5000 0.0000 0.0000